1.
VASP calculation (GGA-PBE) on a relaxed AsIrSe2N crystal.

Cell: 4.2758 4.2758 4.2725 Å, 90.00 90.00 90.00°
Fractional positions:
As 0.0000 0.0000 0.0000
Ir 0.5000 0.5000 0.0000
Se 0.0000 0.5000 0.5000
Se 0.5000 0.0000 0.5000
N 0.0000 0.0000 0.5000

Values from the calculation:
For the energy above the most stable polymorph in this dataset, the calculation gives 2.88 eV/f.u. For the total magnetic moment, the calculation gives 0.00 Bohr magnetons per cell.



2.
VASP calculation (GGA-PBE) on a relaxed AsIrSe2N crystal.

Cell: 5.1075 5.1075 3.6660 Å, 90.00 90.00 90.00°
Fractional positions:
As 0.0000 0.0000 0.0000
Ir 0.5000 0.5000 0.5000
Se 0.0000 0.5000 0.5000
Se 0.5000 0.0000 0.5000
N 0.5000 0.5000 0.0000

Values from the calculation:
For the energy above the most stable polymorph in this dataset, the calculation gives 0.00 eV/f.u. For the total magnetic moment, the calculation gives 0.00 Bohr magnetons per cell.



3.
VASP calculation (GGA-PBE) on a relaxed AsIrSe2N crystal.

Cell: 5.0479 5.0479 3.4476 Å, 90.00 90.00 90.00°
Fractional positions:
As 0.0000 0.0000 0.0000
Ir 0.5000 0.5000 0.5000
Se 0.0000 0.5000 0.0000
Se 0.5000 0.0000 0.0000
N 0.0000 0.0000 0.5000

Values from the calculation:
For the energy above the most stable polymorph in this dataset, the calculation gives 3.90 eV/f.u. For the total magnetic moment, the calculation gives 0.00 Bohr magnetons per cell.



4.
VASP calculation (GGA-PBE) on a relaxed As2IrSeN crystal.

Cell: 4.2285 4.2285 4.2988 Å, 90.00 90.00 90.00°
Fractional positions:
As 0.0000 0.5000 0.0000
As 0.5000 0.0000 0.0000
Ir 0.0000 0.0000 0.5000
Se 0.5000 0.5000 0.5000
N 0.5000 0.5000 0.0000

Values from the calculation:
For the energy above the most stable polymorph in this dataset, the calculation gives 0.00 eV/f.u. For the total magnetic moment, the calculation gives 0.00 Bohr magnetons per cell.



5.
VASP calculation (GGA-PBE) on a relaxed AsIrSeN2 crystal.

Cell: 3.7223 3.7223 8.4626 Å, 90.00 90.00 90.00°
Fractional positions:
As 0.0000 0.0000 0.0000
Ir 0.5000 0.5000 0.5000
Se 0.5000 0.5000 0.0000
N 0.0000 0.5000 0.5000
N 0.5000 0.0000 0.5000

Values from the calculation:
For the energy above the most stable polymorph in this dataset, the calculation gives 0.00 eV/f.u. For the total magnetic moment, the calculation gives 0.24 Bohr magnetons per cell.



6.
VASP calculation (GGA-PBE) on a relaxed Sr2AsIrN crystal.

Cell: 6.7088 4.0378 9.1721 Å, 90.00 110.82 90.00°
Fractional positions:
Sr 0.2113 0.2500 0.3827
Sr 0.2179 0.2500 0.9697
Sr 0.7821 0.7500 0.0303
Sr 0.7887 0.7500 0.6173
As 0.2945 0.7500 0.7044
As 0.7055 0.2500 0.2956
Ir 0.4903 0.7500 0.2553
Ir 0.5097 0.2500 0.7447
N 0.1863 0.7500 0.1693
N 0.8137 0.2500 0.8307

Values from the calculation:
For the energy above the most stable polymorph in this dataset, the calculation gives 0.10 eV/f.u. For the total magnetic moment, the calculation gives 0.00 Bohr magnetons per cell.



7.
VASP calculation (GGA-PBE) on a relaxed Sr2AsIrN crystal.

Cell: 5.5900 5.5900 3.7292 Å, 90.00 90.00 90.00°
Fractional positions:
Sr 0.0000 0.5000 0.0000
Sr 0.5000 0.0000 0.0000
As 0.0000 0.0000 0.5000
Ir 0.5000 0.5000 0.5000
N 0.5000 0.5000 0.0000

Values from the calculation:
For the energy above the most stable polymorph in this dataset, the calculation gives 0.00 eV/f.u. For the total magnetic moment, the calculation gives 0.00 Bohr magnetons per cell.



8.
VASP calculation (GGA-PBE) on a relaxed Te2AsIrN crystal.

Cell: 5.3956 5.3956 3.4868 Å, 90.00 90.00 90.00°
Fractional positions:
Te 0.0000 0.5000 0.0000
Te 0.5000 0.0000 0.0000
As 0.0000 0.0000 0.0000
Ir 0.5000 0.5000 0.5000
N 0.0000 0.0000 0.5000

Values from the calculation:
For the energy above the most stable polymorph in this dataset, the calculation gives 3.66 eV/f.u. For the total magnetic moment, the calculation gives 0.00 Bohr magnetons per cell.



Formation energy from raw total energies
In order: 1.07, 0.50, 1.28, 0.91, 0.89, -0.66, -0.68, 1.18
Unit: eV/atom
E_tot
In order: -4.688, -5.264, -4.484, -5.080, -5.844, -5.704, -5.723, -4.440
Unit: eV per atom